# 1
Entry from Alexandria: a relaxed ZrAs2HBr crystal (PBE).

Output
**E_tot**: -22.38 eV per cell
**Energy above the lowest structure with this stoichiometry**: 0 meV/atom
**Magnetization**: 0.0 μB per formula unit
**V**: 86 Å³ per cell

a b c (Å): 4.0498 4.0498 5.2249
angles (deg): 90.00 90.00 90.00
Closest atoms and distances in Å follow each position.
Space group P4/mmm (No. 123)
One atom of each set of equivalent atoms:
Zr: 0.0000 0.0000 0.0000 x1  4 Br 2.86
As: 0.0000 0.5000 0.5000 x2  2 H 2.02
H: 0.5000 0.5000 0.5000 x1  4 As 2.02
Br: 0.5000 0.5000 0.0000 x1  2 H 2.61, 4 Zr 2.86

---

# 2
Entry from Alexandria: a relaxed ZnWBr2 crystal (PBE).

Output
**E_tot**: -15.92 eV per cell
**Energy above the lowest structure with this stoichiometry**: 266 meV/atom
**E_form (uncorrected)**: 9.55 kcal/mol of atoms
**Magnetization**: 0.0 μB per formula unit
**V**: 84 Å³ per cell

a b c (Å): 3.1645 3.1645 8.3927
angles (deg): 90.00 90.00 90.00
Closest atoms and distances in Å follow each position.
Space group P4mm (No. 99)
One atom of each set of equivalent atoms:
Zn: 0.0000 0.0000 0.0000 x1  4 Br 2.79, 4 W 2.88
W: 0.5000 0.5000 0.7845 x1  4 Br 2.69, 4 Zn 2.88
Br: 0.0000 0.0000 0.6056 x1  4 W 2.69
Br: 0.5000 0.5000 0.1984 x1  4 Zn 2.79

---

# 3
Entry from Alexandria: a relaxed Ag5Hg12Se3 crystal (PBE).

Output
**E_tot**: -199.27 eV per cell
**E_form (uncorrected)**: 3.95 kcal/mol of atoms
**Magnetization**: 0.0 μB per formula unit
**V**: 4740 Å³ per cell

a b c (Å): 16.7977 16.7977 16.7977
angles (deg): 90.00 90.00 90.00
Closest atoms and distances in Å follow each position.
Space group Ia-3d (No. 230)
One atom of each set of equivalent atoms:
Ag: 0.0000 0.0000 0.0000 x16  6 Hg 2.83
Ag: 0.0000 0.2500 0.3750 x24  4 Hg 2.76
Hg: 0.0264 0.0805 0.6456 x96  2 Ag 2.76-2.83, 1 Se 2.90
Se: 0.0000 0.2500 0.1250 x24  4 Hg 2.90

---

# 4
Entry from Alexandria: a relaxed InGaNiPd crystal (PBE).

Output
**E_tot**: -71.70 eV per cell
**Magnetization**: 0.0 μB per formula unit
**V**: 249 Å³ per cell

a b c (Å): 6.2873 6.2873 6.2873
angles (deg): 90.00 90.00 90.00
Closest atoms and distances in Å follow each position.
Space group F-43m (No. 216)
One atom of each set of equivalent atoms:
In: 0.0000 0.0000 0.0000 x4  4 Ni 2.72, 4 Pd 2.72
Ga: 0.0000 0.0000 0.5000 x4  4 Pd 2.72, 4 Ni 2.72
Ni: 0.2500 0.2500 0.2500 x4  4 Ga 2.72, 4 In 2.72
Pd: 0.2500 0.2500 0.7500 x4  4 In 2.72, 4 Ga 2.72

---

# 5
Entry from Alexandria: a relaxed Ac2TiAl crystal (PBE).

Output
**E_tot**: -52.37 eV per cell
**Magnetization**: 2.5 μB per formula unit
**V**: 393 Å³ per cell

a b c (Å): 3.6111 3.6111 34.8380
angles (deg): 90.00 90.00 120.00
Closest atoms and distances in Å follow each position.
Space group R-3m (No. 166, hexagonal axes)
One atom of each set of equivalent atoms:
Ac: 0.0000 0.0000 0.0928 x6  1 Ti 3.23, 3 Al 3.31, 6 Ac 3.61
Ti: 0.0000 0.0000 0.0000 x3  2 Ac 3.23, 6 Ti 3.61
Al: 0.0000 0.0000 0.5000 x3  6 Ac 3.31, 6 Al 3.61

---

# 6
Entry from Alexandria: a relaxed Rb2ZrGaS5 crystal (PBE).

Output
**E_tot**: -175.67 eV per cell
**E_form (uncorrected)**: -25.04 kcal/mol of atoms
**Magnetization**: 0.8 μB per formula unit
**V**: 1057 Å³ per cell

a b c (Å): 3.7238 19.9711 14.2165
angles (deg): 90.00 90.00 90.00
Closest atoms and distances in Å follow each position.
Space group Cmc2_1 (No. 36)
One atom of each set of equivalent atoms:
Rb: 0.0000 0.1274 0.0000 x4  7 S 3.35-3.62, 2 Rb 3.72
Rb: 0.0000 0.1311 0.6239 x4  6 S 3.37-3.39, 2 Rb 3.72
Zr: 0.0000 0.2099 0.3315 x4  5 S 2.42-2.66
Ga: 0.0000 0.4286 0.7441 x4  4 S 2.23-2.37
S: 0.0000 0.0659 0.3418 x4  2 Ga 2.33
S: 0.0000 0.2980 0.9515 x4  2 Zr 2.53
S: 0.0000 0.3136 0.7021 x4  1 Ga 2.37
S: 0.0000 0.3305 0.3136 x4  1 Zr 2.42
S: 0.0000 0.4903 0.6133 x4  1 Ga 2.23

---

# 7
Entry from Alexandria: a relaxed SBrO crystal (PBE).

Output
**E_tot**: -22.99 eV per cell
**E_form (uncorrected)**: -5.66 kcal/mol of atoms
**Magnetization**: 0.0 μB per formula unit
**V**: 181 Å³ per cell

a b c (Å): 4.7484 5.9149 6.5961
angles (deg): 95.20 99.99 94.60
Closest atoms and distances in Å follow each position.
Space group P1 (No. 1)
One atom of each set of equivalent atoms:
S: 0.0000 0.0000 0.0000 x1  2 O 1.54-1.56
S: 0.0901 0.8427 0.2826 x1  1 S 2.15, 1 Br 2.20
Br: 0.2786 0.1557 0.4825 x1  1 S 2.20
Br: 0.7959 0.4613 0.9348 x1  2 O 2.12
O: 0.7359 0.1311 0.0319 x1  1 S 1.56
O: 0.8971 0.7876 0.8434 x1  1 S 1.54

---

# 8
Entry from Alexandria: a relaxed SrZrAs2Br crystal (PBE).

Output
**E_tot**: -18.22 eV per cell
**Energy above the lowest structure with this stoichiometry**: 1445 meV/atom
**E_form (uncorrected)**: 13.75 kcal/mol of atoms
**Magnetization**: 0.9 μB per formula unit
**V**: 168 Å³ per cell

a b c (Å): 5.5407 5.5407 5.4606
angles (deg): 90.00 90.00 90.00
Closest atoms and distances in Å follow each position.
Space group P4/mmm (No. 123)
One atom of each set of equivalent atoms:
Sr: 0.0000 0.0000 0.0000 x1  2 Br 2.73, 4 As 2.77
Zr: 0.5000 0.5000 0.5000 x1  8 As 3.89, 4 Br 3.92
As: 0.0000 0.5000 0.0000 x2  2 Sr 2.77
Br: 0.0000 0.0000 0.5000 x1  2 Sr 2.73

---

# 9
Entry from Alexandria: a relaxed NaHf3Sn crystal (PBE).

Output
**E_tot**: -29.49 eV per cell
**Energy above the lowest structure with this stoichiometry**: 0 meV/atom
**Magnetization**: 0.0 μB per formula unit
**V**: 154 Å³ per cell

a b c (Å): 5.3574 5.3574 5.3574
angles (deg): 90.00 90.00 90.00
Closest atoms and distances in Å follow each position.
Space group Pm-3m (No. 221)
One atom of each set of equivalent atoms:
Na: 0.0000 0.0000 0.0000 x1  12 Hf 3.79
Hf: 0.0000 0.5000 0.5000 x3  2 Sn 2.68
Sn: 0.5000 0.5000 0.5000 x1  6 Hf 2.68

---

# 10
Entry from Alexandria: a relaxed SrMgZn17 crystal (PBE).

Output
**E_tot**: -79.69 eV per cell
**Magnetization**: 0.0 μB per formula unit
**V**: 949 Å³ per cell

a b c (Å): 9.1081 9.1081 13.2083
angles (deg): 90.00 90.00 120.00
Closest atoms and distances in Å follow each position.
Space group R3m (No. 160, hexagonal axes)
One atom of each set of equivalent atoms:
Sr: 0.0000 0.0000 0.0000 x3  19 Zn 3.24-3.46
Mg: 0.0000 0.0000 0.3025 x3  13 Zn 3.04-3.37
Zn: 0.0000 0.0000 0.5459 x3  7 Zn 2.75-2.79
Zn: 0.0000 0.0000 0.7538 x3  13 Zn 2.74-2.99
Zn: 0.0374 0.3648 0.3271 x18  8 Zn 2.60-2.80
Zn: 0.1679 0.3358 0.1445 x9  9 Zn 2.61-2.76
Zn: 0.1719 0.3438 0.4972 x9  10 Zn 2.60-2.79
Zn: 0.1737 0.3473 0.8402 x9  8 Zn 2.61-2.79

---

# 11
Entry from Alexandria: a relaxed ErLuSnPt crystal (PBE).

Output
**E_tot**: -90.37 eV per cell
**Magnetization**: 0.0 μB per formula unit
**V**: 370 Å³ per cell

a b c (Å): 7.1768 7.1768 7.1768
angles (deg): 90.00 90.00 90.00
Closest atoms and distances in Å follow each position.
Space group F-43m (No. 216)
One atom of each set of equivalent atoms:
Er: 0.0000 0.0000 0.0000 x4  4 Sn 3.11, 4 Pt 3.11
Lu: 0.0000 0.0000 0.5000 x4  4 Sn 3.11, 4 Pt 3.11
Sn: 0.2500 0.2500 0.7500 x4  4 Er 3.11, 4 Lu 3.11
Pt: 0.2500 0.2500 0.2500 x4  4 Er 3.11, 4 Lu 3.11

---

# 12
Entry from Alexandria: a relaxed Pm12Y7Th crystal (PBE).

Output
**E_tot**: -316.28 eV per cell
**Energy above the lowest structure with this stoichiometry**: 0 meV/atom
**Magnetization**: 0.0 μB per formula unit
**V**: 2046 Å³ per cell

a b c (Å): 12.4456 12.4456 15.2543
angles (deg): 90.00 90.00 120.00
Closest atoms and distances in Å follow each position.
Space group R-3 (No. 148, hexagonal axes)
One atom of each set of equivalent atoms:
Pm: 0.0187 0.5775 0.2052 x18  3 Pm 3.23-3.56, 1 Y 3.54, 1 Th 3.54
Pm: 0.0565 0.4682 0.5896 x18  4 Pm 3.23-3.56, 2 Y 3.29-3.54
Y: 0.0000 0.0000 0.0000 x3  6 Pm 3.29
Y: 0.0447 0.8612 0.3037 x18  7 Pm 3.54-3.95, 3 Y 3.55-3.57, 1 Th 3.64
Th: 0.0000 0.0000 0.5000 x3  6 Pm 3.54, 6 Y 3.64

---

# 13
Entry from Alexandria: a relaxed CaB2Sb2 crystal (PBE).

Output
**E_tot**: -42.11 eV per cell
**Energy above the lowest structure with this stoichiometry**: 0 meV/atom
**E_form (uncorrected)**: 11.73 kcal/mol of atoms
**Magnetization**: 0.0 μB per formula unit
**V**: 202 Å³ per cell

a b c (Å): 4.5370 4.5370 9.8108
angles (deg): 90.00 90.00 90.00
Closest atoms and distances in Å follow each position.
Space group I4/mmm (No. 139)
One atom of each set of equivalent atoms:
Ca: 0.0000 0.0000 0.0000 x2  10 Sb 3.24-3.61, 8 B 3.34
B: 0.0000 0.5000 0.2500 x4  4 Sb 2.40
Sb: 0.0000 0.0000 0.3304 x4  4 B 2.40

---

# 14
Entry from Alexandria: a relaxed Li3PmGa2 crystal (PBE).

Output
**E_tot**: -54.62 eV per cell
**Energy above the lowest structure with this stoichiometry**: 58 meV/atom
**Magnetization**: 0.2 μB per formula unit
**V**: 354 Å³ per cell

a b c (Å): 9.5820 9.5820 4.4477
angles (deg): 90.00 90.00 120.00
Closest atoms and distances in Å follow each position.
Space group P6/mmm (No. 191)
One atom of each set of equivalent atoms:
Li: 0.0000 0.2924 0.0000 x6  4 Ga 2.72, 4 Li 2.80-2.98
Li: 0.0000 0.5000 0.5000 x3  4 Ga 2.61
Pm: 0.0000 0.0000 0.5000 x1  6 Ga 3.12
Pm: 0.3333 0.6667 0.0000 x2  6 Ga 3.28, 12 Li 3.41-3.55
Ga: 0.1882 0.3764 0.5000 x6  6 Li 2.61-2.72

---

# 15
Entry from Alexandria: a relaxed BaCa2MgCu crystal (PBE).

Output
**E_tot**: -11.30 eV per cell
**Energy above the lowest structure with this stoichiometry**: 67 meV/atom
**Magnetization**: 0.0 μB per formula unit
**V**: 195 Å³ per cell

a b c (Å): 5.6902 5.6902 6.0206
angles (deg): 90.00 90.00 90.00
Closest atoms and distances in Å follow each position.
Space group P4/mmm (No. 123)
One atom of each set of equivalent atoms:
Ba: 0.0000 0.0000 0.0000 x1  2 Cu 3.01
Ca: 0.0000 0.5000 0.5000 x2  2 Cu 2.85
Mg: 0.5000 0.5000 0.0000 x1  4 Ba 4.02, 8 Ca 4.14
Cu: 0.0000 0.0000 0.5000 x1  4 Ca 2.85, 2 Ba 3.01

---

# 16
Entry from Alexandria: a relaxed Ac4La3Zn crystal (PBE).

Output
**E_tot**: -32.88 eV per cell
**Magnetization**: 0.0 μB per formula unit
**V**: 307 Å³ per cell

a b c (Å): 3.9109 3.9109 20.0958
angles (deg): 90.00 90.00 90.00
Closest atoms and distances in Å follow each position.
Space group P4/mmm (No. 123)
One atom of each set of equivalent atoms:
Ac: 0.0000 0.0000 0.0959 x2  4 Zn 3.37
Ac: 0.0000 0.0000 0.3661 x2  8 La 3.83-3.86, 4 Ac 3.91
La: 0.5000 0.5000 0.2341 x2  8 Ac 3.83-3.92, 4 La 3.91
La: 0.5000 0.5000 0.5000 x1  8 Ac 3.86, 4 La 3.91
Zn: 0.5000 0.5000 0.0000 x1  8 Ac 3.37